(1)
Material: NaSmCdO3
Method: DFT, GGA-PBE
State: relaxed

```
data_NaSmCdO3
_symmetry_space_group_name_H-M 'P 1'
_symmetry_Int_Tables_number 1
_cell_length_a 6.2104
_cell_length_b 6.2104
_cell_length_c 9.1368
_cell_angle_alpha 90.00
_cell_angle_beta 90.00
_cell_angle_gamma 145.59
loop_
_symmetry_equiv_pos_as_xyz
'x,y,z'
loop_
_atom_site_label
_atom_site_type_symbol
_atom_site_fract_x
_atom_site_fract_y
_atom_site_fract_z
Na1 Na 0.1540 0.8460 0.7500
Na2 Na 0.8460 0.1540 0.2500
Sm1 Sm 0.5000 0.5000 0.0000
Sm2 Sm 0.5000 0.5000 0.5000
Cd1 Cd 0.1208 0.8792 0.2500
Cd2 Cd 0.8792 0.1208 0.7500
O1 O 0.1246 0.8754 0.0239
O2 O 0.1246 0.8754 0.4761
O3 O 0.4731 0.5269 0.2500
O4 O 0.5269 0.4731 0.7500
O5 O 0.8754 0.1246 0.5239
O6 O 0.8754 0.1246 0.9761
```

Total magnetic moment ... 0.000 μB per atom
E ... -66.45 eV per cell
Space-group type ... No. 63

***

(2)
Material: NaTbCdO3
Method: DFT, GGA-PBE
State: relaxed

```
data_NaTbCdO3
_symmetry_space_group_name_H-M 'P 1'
_symmetry_Int_Tables_number 1
_cell_length_a 6.2611
_cell_length_b 6.2611
_cell_length_c 8.9602
_cell_angle_alpha 90.00
_cell_angle_beta 90.00
_cell_angle_gamma 146.72
loop_
_symmetry_equiv_pos_as_xyz
'x,y,z'
loop_
_atom_site_label
_atom_site_type_symbol
_atom_site_fract_x
_atom_site_fract_y
_atom_site_fract_z
Na1 Na 0.1518 0.8482 0.7500
Na2 Na 0.8482 0.1518 0.2500
Tb1 Tb 0.5000 0.5000 0.0000
Tb2 Tb 0.5000 0.5000 0.5000
Cd1 Cd 0.1227 0.8773 0.2500
Cd2 Cd 0.8773 0.1227 0.7500
O1 O 0.1219 0.8781 0.0188
O2 O 0.1219 0.8781 0.4812
O3 O 0.4780 0.5220 0.2500
O4 O 0.5220 0.4780 0.7500
O5 O 0.8781 0.1219 0.5188
O6 O 0.8781 0.1219 0.9812
```

Total magnetic moment ... 0.000 μB per atom
E ... -67.04 eV per cell
Space-group type ... No. 63

***

(3)
Material: Na2CdTcO6
Method: DFT, GGA-PBE
State: relaxed

```
data_Na2CdTcO6
_symmetry_space_group_name_H-M 'P 1'
_symmetry_Int_Tables_number 1
_cell_length_a 5.6875
_cell_length_b 5.6875
_cell_length_c 9.5545
_cell_angle_alpha 90.00
_cell_angle_beta 90.00
_cell_angle_gamma 120.00
loop_
_symmetry_equiv_pos_as_xyz
'x,y,z'
loop_
_atom_site_label
_atom_site_type_symbol
_atom_site_fract_x
_atom_site_fract_y
_atom_site_fract_z
Na1 Na 0.3333 0.6667 0.0650
Na2 Na 0.3333 0.6667 0.4350
Na3 Na 0.6667 0.3333 0.5650
Na4 Na 0.6667 0.3333 0.9350
Cd1 Cd 0.0000 0.0000 0.2500
Cd2 Cd 0.0000 0.0000 0.7500
Tc1 Tc 0.3333 0.6667 0.7500
Tc2 Tc 0.6667 0.3333 0.2500
O1 O 0.0841 0.3794 0.8654
O2 O 0.0841 0.7047 0.6346
O3 O 0.2953 0.3794 0.6346
O4 O 0.2953 0.9159 0.8654
O5 O 0.3794 0.0841 0.3654
O6 O 0.3794 0.2953 0.1346
O7 O 0.6206 0.7047 0.8654
O8 O 0.6206 0.9159 0.6346
O9 O 0.7047 0.0841 0.1346
O10 O 0.7047 0.6206 0.3654
O11 O 0.9159 0.2953 0.3654
O12 O 0.9159 0.6206 0.1346
```

Total magnetic moment ... 0.100 μB per atom
E ... -110.78 eV per cell
Space-group type ... No. 163

***

(4)
Material: NaYCdO3
Method: DFT, GGA-PBE
State: relaxed

```
data_NaYCdO3
_symmetry_space_group_name_H-M 'P 1'
_symmetry_Int_Tables_number 1
_cell_length_a 6.2580
_cell_length_b 6.2580
_cell_length_c 8.9119
_cell_angle_alpha 90.00
_cell_angle_beta 90.00
_cell_angle_gamma 146.83
loop_
_symmetry_equiv_pos_as_xyz
'x,y,z'
loop_
_atom_site_label
_atom_site_type_symbol
_atom_site_fract_x
_atom_site_fract_y
_atom_site_fract_z
Na1 Na 0.1511 0.8489 0.7500
Na2 Na 0.8489 0.1511 0.2500
Y1 Y 0.5000 0.5000 0.0000
Y2 Y 0.5000 0.5000 0.5000
Cd1 Cd 0.1246 0.8754 0.2500
Cd2 Cd 0.8754 0.1246 0.7500
O1 O 0.1217 0.8783 0.0177
O2 O 0.1217 0.8783 0.4823
O3 O 0.4795 0.5205 0.2500
O4 O 0.5205 0.4795 0.7500
O5 O 0.8783 0.1217 0.5177
O6 O 0.8783 0.1217 0.9823
```

Total magnetic moment ... 0.000 μB per atom
E ... -70.66 eV per cell
Space-group type ... No. 63

***

(5)
Material: Na2CdOsSe4
Method: DFT, GGA-PBE
State: relaxed

```
data_Na2CdOsSe4
_symmetry_space_group_name_H-M 'P 1'
_symmetry_Int_Tables_number 1
_cell_length_a 6.9072
_cell_length_b 6.9072
_cell_length_c 6.8176
_cell_angle_alpha 119.55
_cell_angle_beta 119.55
_cell_angle_gamma 91.41
loop_
_symmetry_equiv_pos_as_xyz
'x,y,z'
loop_
_atom_site_label
_atom_site_type_symbol
_atom_site_fract_x
_atom_site_fract_y
_atom_site_fract_z
Na1 Na 0.0000 0.0000 0.0000
Na2 Na 0.7512 0.2488 0.5000
Cd1 Cd 0.2498 0.7502 0.5000
Os1 Os 0.5006 0.4994 0.0000
Se1 Se 0.1816 0.4138 0.0222
Se2 Se 0.3925 0.1591 0.5728
Se3 Se 0.5862 0.8184 0.9778
Se4 Se 0.8409 0.6075 0.4272
```

Total magnetic moment ... 0.000 μB per atom
E ... -31.77 eV per cell
Space-group type ... No. 5

***

(6)
Material: NaCdTcOs
Method: DFT, GGA-PBE
State: relaxed

```
data_NaCdTcOs
_symmetry_space_group_name_H-M 'P 1'
_symmetry_Int_Tables_number 1
_cell_length_a 4.5164
_cell_length_b 4.5164
_cell_length_c 4.5164
_cell_angle_alpha 60.00
_cell_angle_beta 60.00
_cell_angle_gamma 60.00
loop_
_symmetry_equiv_pos_as_xyz
'x,y,z'
loop_
_atom_site_label
_atom_site_type_symbol
_atom_site_fract_x
_atom_site_fract_y
_atom_site_fract_z
Na1 Na 0.0000 0.0000 0.0000
Cd1 Cd 0.2500 0.2500 0.2500
Tc1 Tc 0.5000 0.5000 0.5000
Os1 Os 0.7500 0.7500 0.7500
```

Total magnetic moment ... 0.002 μB per atom
E ... -21.05 eV per cell
Space-group type ... No. 216

***

- What is the E in the fifth record?
  -31.77 eV per cell

***

- Look up the total magnetic moment of the second one.
  0.000 μB per atom